Entry 1:
## Tb3Pm3Au4 (PBE-GGA)

Data for a relaxed Tb3Pm3Au4 crystal.

a b c (Å): 3.8700 8.2882 8.2882
angles (deg): 89.14 90.00 90.00
Atoms (fractional coordinates):
1 Tb 0.0000 0.4989 0.0031
2 Tb 0.0000 0.9969 0.5011
3 Tb 0.5000 0.1669 0.8331
4 Pm 0.5000 0.8379 0.1621
5 Pm 0.5000 0.3319 0.3379
6 Pm 0.5000 0.6621 0.6681
7 Au 0.0000 0.6299 0.3701
8 Au 0.0000 0.3655 0.6345
9 Au 0.0000 0.8754 0.8655
10 Au 0.0000 0.1345 0.1246

## Properties
**Electronic total energy**: -47.938 eV per cell
**DOS at the Fermi energy**: 10.55 states/eV/f.u.
**Total magnetization**: 0.000 μB per cell

---

Entry 2:
## TbPmAu2 (PBE-GGA)

Data for a relaxed TbPmAu2 crystal.

a b c (Å): 5.1720 5.1720 5.1720
angles (deg): 60.00 60.00 60.00
Atoms (fractional coordinates):
1 Tb 0.0000 0.0000 0.0000
2 Au 0.2500 0.2500 0.2500
3 Au 0.7500 0.7500 0.7500
4 Pm 0.5000 0.5000 0.5000

## Properties
**Electronic total energy**: -19.175 eV per cell
**DOS at the Fermi energy**: 3.00 states/eV/f.u.
**Total magnetization**: 0.000 μB per cell

---

Entry 3:
## Tb2PmAu (PBE-GGA)

Data for a relaxed Tb2PmAu crystal.

a b c (Å): 6.6926 7.0194 10.0125
angles (deg): 90.00 90.00 90.00
Atoms (fractional coordinates):
1 Tb 0.1803 0.6868 0.0531
2 Tb 0.3197 0.1868 0.4469
3 Tb 0.8197 0.3132 0.5531
4 Tb 0.6803 0.8132 0.9469
5 Tb 0.8197 0.3132 0.9469
6 Tb 0.6803 0.8132 0.5531
7 Tb 0.1803 0.6868 0.4469
8 Tb 0.3197 0.1868 0.0531
9 Pm 0.6279 0.5039 0.2500
10 Pm 0.8721 0.0039 0.2500
11 Pm 0.3721 0.4961 0.7500
12 Pm 0.1279 0.9961 0.7500
13 Au 0.0651 0.3952 0.2500
14 Au 0.4349 0.8952 0.2500
15 Au 0.9349 0.6048 0.7500
16 Au 0.5651 0.1048 0.7500

## Properties
**Electronic total energy**: -75.962 eV per cell
**DOS at the Fermi energy**: 4.83 states/eV/f.u.
**Total magnetization**: 0.000 μB per cell

---

Entry 4:
## TbPm2Au (PBE-GGA)

Data for a relaxed TbPm2Au crystal.

a b c (Å): 3.7678 3.7678 10.3216
angles (deg): 79.48 79.48 60.00
Atoms (fractional coordinates):
1 Tb 0.4997 0.4997 0.5010
2 Pm 0.0715 0.0715 0.7856
3 Pm 0.2621 0.2621 0.2138
4 Au 0.6668 0.6668 0.9996

## Properties
**Electronic total energy**: -18.381 eV per cell
**DOS at the Fermi energy**: 5.30 states/eV/f.u.
**Total magnetization**: 0.001 μB per cell

---

Entry 5:
## TbPmAu6 (PBE-GGA)

Data for a relaxed TbPmAu6 crystal.

a b c (Å): 4.7109 5.0276 8.4163
angles (deg): 85.66 73.75 62.06
Atoms (fractional coordinates):
1 Tb 0.0000 0.0000 0.0000
2 Pm 0.0000 0.5000 0.5000
3 Au 0.2464 0.8741 0.6331
4 Au 0.5036 0.2429 0.7498
5 Au 0.2507 0.3775 0.1210
6 Au 0.4964 0.7571 0.2502
7 Au 0.7536 0.1259 0.3669
8 Au 0.7493 0.6225 0.8790

## Properties
**Electronic total energy**: -34.290 eV per cell
**DOS at the Fermi energy**: 2.96 states/eV/f.u.
**Total magnetization**: 0.000 μB per cell

---

Entry 6:
## TbPm3Au4 (PBE-GGA)

Data for a relaxed TbPm3Au4 crystal.

a b c (Å): 3.6655 3.6655 14.7313
angles (deg): 90.00 90.00 90.00
Atoms (fractional coordinates):
1 Au 0.0000 0.0000 0.8828
2 Au 0.0000 0.0000 0.1172
3 Au 0.0000 0.0000 0.3746
4 Au 0.0000 0.0000 0.6254
5 Tb 0.5000 0.5000 0.0000
6 Pm 0.5000 0.5000 0.2477
7 Pm 0.5000 0.5000 0.5000
8 Pm 0.5000 0.5000 0.7523

## Properties
**Electronic total energy**: -38.406 eV per cell
**DOS at the Fermi energy**: 4.58 states/eV/f.u.
**Total magnetization**: 0.000 μB per cell

---

Entry 7:
## TbPm2Au (PBE-GGA)

Data for a relaxed TbPm2Au crystal.

a b c (Å): 3.5683 3.5683 11.7171
angles (deg): 81.24 81.24 60.00
Atoms (fractional coordinates):
1 Tb 0.5000 0.5000 0.5000
2 Au 0.0000 0.0000 0.0000
3 Pm 0.0828 0.0828 0.7516
4 Pm 0.9172 0.9172 0.2484

## Properties
**Electronic total energy**: -16.841 eV per cell
**DOS at the Fermi energy**: 4.66 states/eV/f.u.
**Total magnetization**: 0.000 μB per cell

---

Entry 8:
## TbPm2Au (PBE-GGA)

Data for a relaxed TbPm2Au crystal.

a b c (Å): 3.7153 5.4966 5.4966
angles (deg): 90.00 90.00 90.00
Atoms (fractional coordinates):
1 Tb 0.5000 0.5000 0.5000
2 Au 0.5000 0.0000 0.0000
3 Pm 0.0000 0.0000 0.5000
4 Pm 0.0000 0.5000 0.0000

## Properties
**Electronic total energy**: -18.351 eV per cell
**DOS at the Fermi energy**: 5.19 states/eV/f.u.
**Total magnetization**: 0.000 μB per cell

---

Entry 9:
## TbPm2Au2 (PBE-GGA)

Data for a relaxed TbPm2Au2 crystal.

a b c (Å): 3.8910 8.3130 8.3130
angles (deg): 90.00 90.00 90.00
Atoms (fractional coordinates):
1 Tb 0.0000 0.0000 0.0000
2 Tb 0.0000 0.5000 0.5000
3 Pm 0.5000 0.1654 0.6654
4 Pm 0.5000 0.6654 0.8346
5 Pm 0.5000 0.8346 0.3346
6 Pm 0.5000 0.3346 0.1654
7 Au 0.0000 0.3696 0.8696
8 Au 0.0000 0.8696 0.6304
9 Au 0.0000 0.6304 0.1304
10 Au 0.0000 0.1304 0.3696

## Properties
**Electronic total energy**: -47.970 eV per cell
**DOS at the Fermi energy**: 5.26 states/eV/f.u.
**Total magnetization**: 0.000 μB per cell

---

Entry 10:
## TbPm2Au (PBE-GGA)

Data for a relaxed TbPm2Au crystal.

a b c (Å): 6.7421 7.1090 10.0687
angles (deg): 90.00 90.00 90.00
Atoms (fractional coordinates):
1 Tb 0.6276 0.5163 0.2500
2 Tb 0.8724 0.0163 0.2500
3 Tb 0.3724 0.4837 0.7500
4 Tb 0.1276 0.9837 0.7500
5 Pm 0.1858 0.6957 0.0545
6 Pm 0.3142 0.1957 0.4455
7 Pm 0.8142 0.3043 0.5545
8 Pm 0.6858 0.8043 0.9455
9 Pm 0.8142 0.3043 0.9455
10 Pm 0.6858 0.8043 0.5545
11 Pm 0.1858 0.6957 0.4455
12 Pm 0.3142 0.1957 0.0545
13 Au 0.0458 0.4025 0.2500
14 Au 0.4542 0.9025 0.2500
15 Au 0.9542 0.5975 0.7500
16 Au 0.5458 0.0975 0.7500

## Properties
**Electronic total energy**: -76.149 eV per cell
**DOS at the Fermi energy**: 3.84 states/eV/f.u.
**Total magnetization**: 0.000 μB per cell

---

Entry 11:
## TbPm2Au4 (PBE-GGA)

Data for a relaxed TbPm2Au4 crystal.

a b c (Å): 5.3345 5.3345 8.4202
angles (deg): 108.47 108.47 90.00
Atoms (fractional coordinates):
1 Tb 0.0000 0.0000 0.0000
2 Pm 0.6195 0.6195 0.2390
3 Pm 0.3805 0.3805 0.7610
4 Au 0.8130 0.8130 0.6259
5 Au 0.1870 0.1870 0.3741
6 Au 0.0000 0.5000 0.0000
7 Au 0.5000 0.0000 0.0000

## Properties
**Electronic total energy**: -29.302 eV per cell
**DOS at the Fermi energy**: 5.27 states/eV/f.u.
**Total magnetization**: 0.000 μB per cell

---

Entry 12:
## TbPmAu5 (PBE-GGA)

Data for a relaxed TbPmAu5 crystal.

a b c (Å): 5.3350 5.3350 11.5446
angles (deg): 100.63 100.63 102.21
Atoms (fractional coordinates):
1 Tb 0.5626 0.4374 0.2500
2 Tb 0.4374 0.5626 0.7500
3 Pm 0.0000 0.0000 0.0000
4 Pm 0.0000 0.0000 0.5000
5 Au 0.0440 0.5558 0.1522
6 Au 0.7546 0.4681 0.5384
7 Au 0.5558 0.0440 0.6522
8 Au 0.9274 0.0726 0.2500
9 Au 0.5319 0.2454 0.9616
10 Au 0.4681 0.7546 0.0384
11 Au 0.0726 0.9274 0.7500
12 Au 0.4442 0.9560 0.3478
13 Au 0.2454 0.5319 0.4616
14 Au 0.9560 0.4442 0.8478

## Properties
**Electronic total energy**: -60.513 eV per cell
**DOS at the Fermi energy**: 4.17 states/eV/f.u.
**Total magnetization**: 0.000 μB per cell

---

Entry 13:
## Tb3PmAu4 (PBE-GGA)

Data for a relaxed Tb3PmAu4 crystal.

a b c (Å): 5.2536 5.6494 7.9580
angles (deg): 114.37 109.27 90.00
Atoms (fractional coordinates):
1 Tb 0.0000 0.5000 0.0000
2 Tb 0.1806 0.2535 0.3612
3 Tb 0.8194 0.7465 0.6388
4 Pm 0.5000 0.0000 0.0000
5 Au 0.2489 0.8236 0.4978
6 Au 0.7511 0.1764 0.5022
7 Au 0.6075 0.6092 0.2149
8 Au 0.3925 0.3908 0.7851

## Properties
**Electronic total energy**: -36.952 eV per cell
**DOS at the Fermi energy**: 6.00 states/eV/f.u.
**Total magnetization**: 0.000 μB per cell

---

Entry 14:
## TbPm2Au3 (PBE-GGA)

Data for a relaxed TbPm2Au3 crystal.

a b c (Å): 3.6537 5.1857 15.6225
angles (deg): 90.00 90.00 90.00
Atoms (fractional coordinates):
1 Tb 0.9997 0.5000 0.5000
2 Tb 0.0003 0.0000 0.0000
3 Pm 0.0002 0.0000 0.6673
4 Pm 0.0002 0.0000 0.3327
5 Pm 0.9998 0.5000 0.1673
6 Pm 0.9998 0.5000 0.8327
7 Au 0.4996 0.5000 0.6598
8 Au 0.5012 0.0000 0.5000
9 Au 0.4996 0.5000 0.3402
10 Au 0.5004 0.0000 0.1598
11 Au 0.4988 0.5000 0.0000
12 Au 0.5004 0.0000 0.8402

## Properties
**Electronic total energy**: -57.572 eV per cell
**DOS at the Fermi energy**: 4.02 states/eV/f.u.
**Total magnetization**: 0.000 μB per cell

---

Entry 15:
## TbPm4Au (PBE-GGA)

Data for a relaxed TbPm4Au crystal.

a b c (Å): 5.3677 6.5501 11.2255
angles (deg): 90.00 103.83 90.00
Atoms (fractional coordinates):
1 Tb 0.8683 0.7135 0.7366
2 Tb 0.1317 0.2135 0.2634
3 Pm 0.9312 0.2124 0.8625
4 Pm 0.0688 0.7124 0.1375
5 Pm 0.4740 0.8588 0.9481
6 Pm 0.5260 0.3588 0.0519
7 Pm 0.6638 0.5640 0.3275
8 Pm 0.3362 0.0640 0.6725
9 Pm 0.7434 0.0924 0.4867
10 Pm 0.2566 0.5924 0.5133
11 Au 0.6097 0.9921 0.2195
12 Au 0.3903 0.4921 0.7805

## Properties
**Electronic total energy**: -55.688 eV per cell
**DOS at the Fermi energy**: 7.59 states/eV/f.u.
**Total magnetization**: 0.000 μB per cell

---

Entry 16:
## Tb2PmAu2 (PBE-GGA)

Data for a relaxed Tb2PmAu2 crystal.

a b c (Å): 4.9386 5.3076 10.8606
angles (deg): 96.55 90.00 90.00
Atoms (fractional coordinates):
1 Tb 0.2500 0.8242 0.8881
2 Tb 0.7500 0.1758 0.1119
3 Tb 0.2500 0.2528 0.5078
4 Tb 0.7500 0.7472 0.4922
5 Pm 0.2500 0.7041 0.2374
6 Pm 0.7500 0.2959 0.7626
7 Au 0.2500 0.7824 0.6273
8 Au 0.7500 0.2176 0.3727
9 Au 0.2500 0.3407 0.9887
10 Au 0.7500 0.6593 0.0113

## Properties
**Electronic total energy**: -47.128 eV per cell
**DOS at the Fermi energy**: 5.57 states/eV/f.u.
**Total magnetization**: 0.000 μB per cell

---

Entry 17:
## Tb2PmAu (PBE-GGA)

Data for a relaxed Tb2PmAu crystal.

a b c (Å): 4.9689 6.5232 7.8223
angles (deg): 90.00 90.00 112.39
Atoms (fractional coordinates):
1 Tb 0.3557 0.7113 0.5344
2 Tb 0.6443 0.2887 0.4656
3 Tb 0.3557 0.7113 0.9656
4 Tb 0.6443 0.2887 0.0344
5 Pm 0.9529 0.9059 0.2500
6 Pm 0.0471 0.0941 0.7500
7 Au 0.7963 0.5927 0.7500
8 Au 0.2037 0.4073 0.2500

## Properties
**Electronic total energy**: -37.785 eV per cell
**DOS at the Fermi energy**: 5.24 states/eV/f.u.
**Total magnetization**: 0.001 μB per cell

---

Entry 18:
## Tb2PmAu6 (PBE-GGA)

Data for a relaxed Tb2PmAu6 crystal.

a b c (Å): 5.3196 8.9146 8.9145
angles (deg): 76.96 80.75 80.75
Atoms (fractional coordinates):
1 Tb 0.4149 0.5424 0.7914
2 Tb 0.0851 0.2086 0.4576
3 Tb 0.5851 0.4576 0.2086
4 Tb 0.9149 0.7914 0.5424
5 Pm 0.2500 0.1257 0.8743
6 Pm 0.7500 0.8743 0.1257
7 Au 0.4769 0.6776 0.4355
8 Au 0.0231 0.5645 0.3224
9 Au 0.5231 0.3224 0.5645
10 Au 0.9769 0.4355 0.6776
11 Au 0.6462 0.1014 0.3521
12 Au 0.8538 0.6479 0.8986
13 Au 0.3538 0.8986 0.6479
14 Au 0.1462 0.3521 0.1014
15 Au 0.3129 0.7600 0.0166
16 Au 0.1871 0.9834 0.2400
17 Au 0.6871 0.2400 0.9834
18 Au 0.8129 0.0166 0.7600

## Properties
**Electronic total energy**: -80.480 eV per cell
**DOS at the Fermi energy**: 5.45 states/eV/f.u.
**Total magnetization**: 0.000 μB per cell

---

Entry 19:
## Tb2PmAu (PBE-GGA)

Data for a relaxed Tb2PmAu crystal.

a b c (Å): 3.7826 3.7826 10.1096
angles (deg): 79.22 79.22 60.00
Atoms (fractional coordinates):
1 Tb 0.0681 0.0681 0.7958
2 Tb 0.2652 0.2652 0.2045
3 Pm 0.5008 0.5008 0.4976
4 Au 0.6660 0.6660 0.0021

## Properties
**Electronic total energy**: -18.419 eV per cell
**DOS at the Fermi energy**: 5.17 states/eV/f.u.
**Total magnetization**: 0.001 μB per cell

---

Entry 20:
## Tb2PmAu (PBE-GGA)

Data for a relaxed Tb2PmAu crystal.

a b c (Å): 3.6710 5.4161 5.4161
angles (deg): 90.00 90.00 90.00
Atoms (fractional coordinates):
1 Tb 0.0000 0.0000 0.5000
2 Tb 0.0000 0.5000 0.0000
3 Au 0.5000 0.0000 0.0000
4 Pm 0.5000 0.5000 0.5000

## Properties
**Electronic total energy**: -18.166 eV per cell
**DOS at the Fermi energy**: 4.91 states/eV/f.u.
**Total magnetization**: 0.000 μB per cell